[1]
AlSbIr2: relaxed, PBE.

E above lowest polymorph: 106 meV per atom
Formation energy (no corrections): -0.17 eV per atom

abc: 8.455 3.068 5.155
angles: 90.00 101.85 90.00
Space group C2/m (No. 12)
One atom of each set of equivalent atoms:
Al 0.000 0.000 0.000 [2 per cell]
Sb 0.000 0.500 0.500 [2 per cell]
Ir 0.242 0.500 0.236 [4 per cell]

[2]
AlSb3Ir: relaxed, PBE.

E above lowest polymorph: 0 meV per atom
Formation energy (no corrections): 0.62 eV per atom

abc: 5.225 5.225 5.225
angles: 90.00 90.00 90.00
Space group Pm-3m (No. 221)
One atom of each set of equivalent atoms:
Al 0.000 0.000 0.000 [1 per cell]
Sb 0.000 0.500 0.500 [3 per cell]
Ir 0.500 0.500 0.500 [1 per cell]

[3]
AlSbIr2: relaxed, PBE.

E above lowest polymorph: 38 meV per atom
Formation energy (no corrections): -0.24 eV per atom

abc: 3.078 3.955 5.454
angles: 90.00 90.00 90.00
Space group Pmm2 (No. 25)
One atom of each set of equivalent atoms:
Al 0.000 0.000 0.000 [1 per cell]
Sb 0.500 0.500 0.655 [1 per cell]
Ir 0.000 0.000 0.480 [1 per cell]
Ir 0.500 0.500 0.139 [1 per cell]

- Which of these has the lowest formation energy (no corrections)?
  number 3

- The lowest formation energy (no corrections) belongs to which entry?
  number 3